Record 1
# Dy3Ho8Mg

A geometry-optimized Dy3Ho8Mg structure (GGA-PBE, Alexandria).

```
12
Lattice="4.7675 0.0055 -1.3859 -0.1572 9.9032 -0.5035 -0.3888 5.3464 7.5699" Properties=species:S:1:pos:R:3 pbc="T T T"
Dy 1.6344 6.5153 5.6405
Dy 3.3215 6.3650 2.5542
Dy 2.5873 8.7058 0.0391
Ho 1.5547 11.4251 5.3838
Ho 0.9780 3.8852 3.3754
Ho 3.8904 13.9212 4.5359
Ho 0.2419 6.2429 0.8564
Ho 3.9781 8.9757 4.8205
Ho 0.3230 1.2611 1.1167
Ho 2.6750 3.7577 0.3233
Ho 3.2437 11.3153 2.3036
Mg 0.8994 8.8416 3.1252
```

E in eV/cell: -51.7
Space-group type: No. 8
DOS(E_F) in states/eV per atom: 1.4534
Formation energy from the elements in eV per atom: 0.0229

Record 2
# ZnFe2Au

A geometry-optimized ZnFe2Au structure (GGA-PBE, Alexandria).

```
4
Lattice="4.5779 -0.0093 0.0232 3.6661 2.7417 0.0232 1.1140 0.3692 4.5057" Properties=species:S:1:pos:R:3 pbc="T T T"
Au 6.9836 2.3146 3.3988
Fe 8.1691 2.7075 0.1791
Fe 2.4058 0.7974 1.0749
Zn 4.7225 1.5652 2.2218
```

E in eV/cell: -21.1
Space-group type: No. 8
DOS(E_F) in states/eV per atom: 0.5786
Formation energy from the elements in eV per atom: 0.0902

Record 3
# Dy5Tl2Cu

A geometry-optimized Dy5Tl2Cu structure (GGA-PBE, Alexandria).

```
16
Lattice="4.9697 0.0000 0.0000 0.0000 6.7753 0.0000 0.0000 0.0000 12.7822" Properties=species:S:1:pos:R:3 pbc="T T T"
Dy 0.0000 0.0000 6.3911
Dy 0.0000 3.3877 0.0000
Dy 0.0000 6.0603 2.7969
Dy 0.0000 0.7151 9.9853
Dy 0.0000 4.1027 9.1880
Dy 0.0000 2.6726 3.5942
Dy 2.4849 4.5710 5.1574
Dy 2.4849 2.2043 7.6248
Dy 2.4849 5.5920 11.5485
Dy 2.4849 1.1834 1.2337
Tl 2.4849 4.3241 1.9030
Tl 2.4849 2.4512 10.8792
Tl 2.4849 5.8389 8.2941
Tl 2.4849 0.9365 4.4881
Cu 0.0000 3.3877 6.3911
Cu 0.0000 0.0000 0.0000
```

E in eV/cell: -67.6
Space-group type: No. 55
DOS(E_F) in states/eV per atom: 1.0277
Formation energy from the elements in eV per atom: -0.2465

Record 4
# Be2SbPt2

A geometry-optimized Be2SbPt2 structure (GGA-PBE, Alexandria).

```
10
Lattice="7.1618 0.0000 0.0000 0.0000 7.1618 0.0000 0.0000 0.0000 2.8410" Properties=species:S:1:pos:R:3 pbc="T T T"
Sb 0.0000 0.0000 0.0000
Sb 3.5809 3.5809 0.0000
Pt 1.1092 4.6901 1.4205
Pt 4.6901 6.0526 1.4205
Pt 6.0526 2.4717 1.4205
Pt 2.4717 1.1092 1.4205
Be 2.7096 6.2905 0.0000
Be 6.2905 4.4523 0.0000
Be 4.4523 0.8713 0.0000
Be 0.8713 2.7096 0.0000
```

E in eV/cell: -50.3
Space-group type: No. 127
DOS(E_F) in states/eV per atom: 0.3876
E_form (uncorrected) in eV/atom: -0.30
Excess energy over the best structure of this formula in the dataset in meV per atom: 118.8

Record 5
# LaMg2GaP

A geometry-optimized LaMg2GaP structure (GGA-PBE, Alexandria).

```
5
Lattice="-4.3061 1.9290 -1.0745 -0.8380 -4.1036 -4.0086 -2.0944 -2.8221 3.3269" Properties=species:S:1:pos:R:3 pbc="T T T"
P -3.6193 -2.4983 -0.8781
Mg -1.0472 -1.4111 1.6634
Mg -2.1531 0.9645 -0.5373
Ga 0.0000 0.0000 0.0000
La -0.4190 -2.0518 -2.0043
```

E in eV/cell: -16.8
Space-group type: No. 123
DOS(E_F) in states/eV per atom: 0.3869
Formation energy from the elements in eV per atom: -0.0486

Record 6
# TaNiAg3

A geometry-optimized TaNiAg3 structure (GGA-PBE, Alexandria).

```
5
Lattice="-0.0017 -3.2522 -3.9441 -3.8875 -2.5604 2.1129 -3.3197 3.0000 -2.4723" Properties=species:S:1:pos:R:3 pbc="T T T"
Ni -3.6044 -1.4063 -2.1518
Ag -1.9437 -1.2802 1.0565
Ag -1.6598 1.5000 -1.2362
Ag -0.0008 -1.6261 -1.9721
Ta 0.0000 0.0000 0.0000
```

E in eV/cell: -16.6
Space-group type: No. 221
DOS(E_F) in states/eV per atom: 2.1484
Formation energy from the elements in eV per atom: 1.9245
Excess energy over the best structure of this formula in the dataset in meV per atom: 585.6

Record 7
# Y3Mo

A geometry-optimized Y3Mo structure (GGA-PBE, Alexandria).

```
4
Lattice="-1.4311 -1.8906 -2.5664 3.4756 0.2581 0.2503 0.1868 -8.4578 6.1265" Properties=species:S:1:pos:R:3 pbc="T T T"
Mo 0.0000 0.0000 0.0000
Y 0.0934 -4.2289 3.0632
Y 1.8797 -2.2539 0.6122
Y 1.9871 -7.1202 4.1371
```

E in eV/cell: -28.6
Space-group type: No. 187
DOS(E_F) in states/eV per atom: 1.4321
Formation energy from the elements in eV per atom: 0.4047
Excess energy over the best structure of this formula in the dataset in meV per atom: 228.9

Record 8
# Pm6TlGe3

A geometry-optimized Pm6TlGe3 structure (GGA-PBE, Alexandria).

```
20
Lattice="4.4048 0.0000 0.0000 0.0000 12.0108 -0.0395 0.0000 -4.0540 11.7064" Properties=species:S:1:pos:R:3 pbc="T T T"
Pm 3.3036 3.0983 6.8594
Pm 1.1012 4.8585 4.8076
Pm 3.3036 10.7091 1.1249
Pm 1.1012 -2.7522 10.5421
Pm 3.3036 4.4482 0.2768
Pm 1.1012 3.5086 11.3902
Pm 3.3036 7.3715 3.1214
Pm 1.1012 0.5853 8.5456
Pm 3.3036 -0.3789 5.0821
Pm 1.1012 8.3357 6.5849
Pm 3.3036 5.8972 8.9737
Pm 1.1012 2.0596 2.6932
Tl 3.3036 -1.8519 8.2454
Tl 1.1012 9.8087 3.4216
Ge 3.3036 2.4487 9.6896
Ge 1.1012 5.5081 1.9774
Ge 3.3036 6.3406 6.0034
Ge 1.1012 1.6162 5.6636
Ge 3.3036 1.5647 0.8990
Ge 1.1012 6.3921 10.7679
```

E in eV/cell: -100.3
Space-group type: No. 11
DOS(E_F) in states/eV per atom: 0.7340
Formation energy from the elements in eV per atom: -0.5451

Record 9
# YPuHgOs

A geometry-optimized YPuHgOs structure (GGA-PBE, Alexandria).

```
4
Lattice="3.3334 0.0000 0.0000 0.0000 3.3334 0.0000 0.0000 0.0000 8.2244" Properties=species:S:1:pos:R:3 pbc="T T T"
Y 1.6667 1.6667 6.4559
Pu 1.6667 1.6667 2.9779
Hg 0.0000 0.0000 0.5585
Os 0.0000 0.0000 4.6858
```

E in eV/cell: -33.2
Space-group type: No. 99
DOS(E_F) in states/eV per atom: 1.8727
Formation energy from the elements in eV per atom: -0.2095
Excess energy over the best structure of this formula in the dataset in meV per atom: 0.0